Entry 1:
{"formula": "Li2Zn8Pd3", "functional": "GGA-PBE", "state": "optimized geometry", "lattice": [[4.956, 0.000, 0.000], [2.478, 4.292, 0.000], [2.478, 1.431, 9.471]], "species": ["Li", "Li", "Zn", "Zn", "Zn", "Zn", "Zn", "Zn", "Zn", "Zn", "Pd", "Pd", "Pd"], "frac_coords": [[0.639, 0.639, 0.084], [0.361, 0.361, 0.916], [0.724, 0.724, 0.828], [0.276, 0.276, 0.172], [0.228, 0.727, 0.319], [0.727, 0.228, 0.319], [0.727, 0.727, 0.319], [0.273, 0.772, 0.681], [0.772, 0.273, 0.681], [0.273, 0.273, 0.681], [0.000, 0.000, 0.000], [0.815, 0.815, 0.555], [0.185, 0.185, 0.445]], "formation_enthalpy_0k_mev_per_atom": -191.4, "space_group": "R-3m (166)", "total_energy_ev_per_atom": -2.47, "m_tot_mub_per_fu": 0.0}



Entry 2:
{"formula": "LiZn3Pd3", "functional": "GGA-PBE", "state": "optimized geometry", "lattice": [[-1.339, 0.129, 5.922], [-5.282, -2.703, -1.297], [2.529, -5.271, 0.686]], "species": ["Li", "Li", "Zn", "Zn", "Zn", "Zn", "Zn", "Zn", "Pd", "Pd", "Pd", "Pd", "Pd", "Pd"], "frac_coords": [[0.277, 0.277, 0.000], [0.723, 0.723, 0.000], [0.267, 0.267, 0.500], [0.269, 0.731, 0.500], [0.731, 0.269, 0.500], [0.245, 0.755, 0.000], [0.755, 0.245, 0.000], [0.733, 0.733, 0.500], [0.000, 0.000, 0.744], [0.500, 0.000, 0.250], [0.000, 0.500, 0.250], [0.500, 0.000, 0.750], [0.000, 0.500, 0.750], [0.000, 0.000, 0.256]], "formation_enthalpy_0k_mev_per_atom": -468.8, "space_group": "Cmmm (65)", "total_energy_ev_per_atom": -3.51, "m_tot_mub_per_fu": 0.0}